Computed, not measured: a relaxed LaMgSe crystal at the PBE-GGA level of DFT.

Cell: 4.7606 4.7606 3.9411 Å, 90.00 90.00 120.00°
With the nearest neighbours (Å) after each atom.
Sites, in units of the cell vectors:
Se 0.3333 0.6667 0.4995  3 Mg 2.75
Mg 0.6667 0.3333 0.5004  3 Se 2.75
La 0.0000 0.0000 0.0001  6 Se 3.38, 6 Mg 3.38

## Properties
- Raw formation energy: -243 kJ/mol of formula units
- DOS(E_F): 2.40 states/eV per cell
- Relative energy among the computed polymorphs: 0.76 eV per formula unit
- Total moment: 0.00 μB/f.u.
- SG: P-6m2 (187)